A relaxed structure of Li3MnSi. Source: Alexandria via LeMat-Bulk, functional PBE.

* energy above the lowest structure with this stoichiometry: 10.3 kJ/mol of atoms
* electronic total energy: -15.24 eV per cell
* DOS(E_F): 11.6 states/eV/f.u.
* formation energy from raw total energies: 1019 meV per atom
* volume: 19.114 A^3/atom

Unit cell a=4.572 b=4.572 c=4.572 alpha=90.00 beta=90.00 gamma=90.00
Sites, in units of the cell vectors:
Si (0.000, 0.000, 0.000)
Mn (0.500, 0.500, 0.500)
Li (0.000, 0.500, 0.000)
Li (0.000, 0.000, 0.500)
Li (0.500, 0.000, 0.000)

A relaxed structure of LiMn2Si. Source: Alexandria via LeMat-Bulk, functional PBE.

* electronic total energy: -25.97 eV per cell
* DOS(E_F): 2.5 states/eV/f.u.
* formation energy from raw total energies: -73 meV per atom
* volume: 12.165 A^3/atom

Unit cell a=3.849 b=3.849 c=3.284 alpha=90.00 beta=90.00 gamma=90.03
Sites, in units of the cell vectors:
Li (0.000, 0.500, 0.500)
Mn (0.000, 0.000, 0.000)
Mn (0.500, 0.500, 0.000)
Si (0.500, 0.000, 0.500)

Number 1: magnetic moment 0.49 μB per formula unit. Number 2: magnetic moment 5.36 μB per formula unit.